First-principles (PBE-GGA) data for a geometry-optimized ErMnCoSi3 structure, as listed in Alexandria.

- formation energy (no corrections) (eV/atom) = -0.300

a b c (Å): 6.437 6.437 5.792
angles (deg): 90.00 90.00 125.53
Sites, in units of the cell vectors:
Er  0.242  0.758  0.750
Er  0.758  0.242  0.250
Mn  0.020  0.980  0.250
Mn  0.980  0.020  0.750
Co  0.388  0.612  0.250
Co  0.612  0.388  0.750
Si  0.205  0.795  0.250
Si  0.296  0.296  0.000
Si  0.296  0.296  0.500
Si  0.704  0.704  0.000
Si  0.704  0.704  0.500
Si  0.795  0.205  0.750

First-principles (PBE-GGA) data for a geometry-optimized Er2MnCo5Si2 structure, as listed in Alexandria.

- formation energy (no corrections) (eV/atom) = -0.377

a b c (Å): 9.383 9.383 3.230
angles (deg): 90.00 90.00 90.00
Sites, in units of the cell vectors:
Er  0.176  0.324  0.000
Er  0.324  0.824  0.000
Er  0.676  0.176  0.000
Er  0.824  0.676  0.000
Mn  0.000  0.000  0.000
Mn  0.500  0.500  0.000
Co  0.000  0.500  0.500
Co  0.064  0.787  0.500
Co  0.213  0.064  0.500
Co  0.287  0.564  0.500
Co  0.436  0.287  0.500
Co  0.500  0.000  0.500
Co  0.564  0.713  0.500
Co  0.713  0.436  0.500
Co  0.787  0.936  0.500
Co  0.936  0.213  0.500
Si  0.121  0.621  0.000
Si  0.379  0.121  0.000
Si  0.621  0.879  0.000
Si  0.879  0.379  0.000

First-principles (PBE-GGA) data for a geometry-optimized TbErMnCo structure, as listed in Alexandria.

- DFT formation energy (eV per atom) = 0.0606

a b c (Å): 4.871 4.871 4.871
angles (deg): 60.00 60.00 60.00
Sites, in units of the cell vectors:
Tb  0.000  0.000  0.000
Er  0.500  0.500  0.500
Mn  0.750  0.750  0.750
Co  0.250  0.250  0.250

First-principles (PBE-GGA) data for a geometry-optimized ErTmMnCo structure, as listed in Alexandria.

- DFT formation energy (eV per atom) = 0.0220

a b c (Å): 4.821 4.821 4.821
angles (deg): 60.00 60.00 60.00
Sites, in units of the cell vectors:
Er  0.000  0.000  0.000
Tm  0.500  0.500  0.500
Mn  0.750  0.750  0.750
Co  0.250  0.250  0.250

First-principles (PBE-GGA) data for a geometry-optimized YErMnCo structure, as listed in Alexandria.

- DFT formation energy (eV per atom) = 0.0608

a b c (Å): 4.874 4.874 4.874
angles (deg): 60.00 60.00 60.00
Sites, in units of the cell vectors:
Y  0.000  0.000  0.000
Er  0.500  0.500  0.500
Mn  0.750  0.750  0.750
Co  0.250  0.250  0.250

First-principles (PBE-GGA) data for a geometry-optimized ErCoMo structure, as listed in Alexandria.

- DFT formation energy (eV per atom) = 0.4311

a b c (Å): 6.225 6.225 6.488
angles (deg): 90.00 90.00 90.00
Sites, in units of the cell vectors:
Er  0.233  0.233  0.000
Er  0.267  0.733  0.250
Er  0.733  0.267  0.750
Er  0.767  0.767  0.500
Co  0.066  0.934  0.750
Co  0.434  0.434  0.500
Co  0.566  0.566  0.000
Co  0.934  0.066  0.250
Mo  0.171  0.171  0.500
Mo  0.329  0.671  0.750
Mo  0.671  0.329  0.250
Mo  0.829  0.829  0.000

First-principles (PBE-GGA) data for a geometry-optimized Er12Co3N5 structure, as listed in Alexandria.

- formation energy (no corrections) (eV/atom) = -0.767

a b c (Å): 12.904 12.904 12.904
angles (deg): 109.47 109.47 109.47
Sites, in units of the cell vectors:
Er  0.025  0.206  0.122
Er  0.025  0.319  0.903
Er  0.084  0.706  0.681
Er  0.084  0.878  0.403
Er  0.097  0.622  0.416
Er  0.097  0.975  0.681
Er  0.122  0.025  0.206
Er  0.122  0.597  0.916
Er  0.181  0.206  0.584
Er  0.181  0.475  0.597
Er  0.206  0.122  0.025
Er  0.206  0.584  0.181
Er  0.294  0.319  0.916
Er  0.294  0.475  0.378
Er  0.319  0.903  0.025
Er  0.319  0.916  0.294
Er  0.378  0.294  0.475
Er  0.378  0.584  0.903
Er  0.403  0.084  0.878
Er  0.403  0.819  0.525
Er  0.416  0.097  0.622
Er  0.416  0.819  0.794
Er  0.475  0.378  0.294
Er  0.475  0.597  0.181
Er  0.525  0.403  0.819
Er  0.525  0.622  0.706
Er  0.584  0.181  0.206
Er  0.584  0.903  0.378
Er  0.597  0.181  0.475
Er  0.597  0.916  0.122
Er  0.622  0.416  0.097
Er  0.622  0.706  0.525
Er  0.681  0.084  0.706
Er  0.681  0.097  0.975
Er  0.706  0.525  0.622
Er  0.706  0.681  0.084
Er  0.794  0.416  0.819
Er  0.794  0.878  0.975
Er  0.819  0.525  0.403
Er  0.819  0.794  0.416
Er  0.878  0.403  0.084
Er  0.878  0.975  0.794
Er  0.903  0.025  0.319
Er  0.903  0.378  0.584
Er  0.916  0.122  0.597
Er  0.916  0.294  0.319
Er  0.975  0.681  0.097
Er  0.975  0.794  0.878
Co  0.125  0.250  0.375
Co  0.125  0.375  0.750
Co  0.250  0.375  0.125
Co  0.250  0.875  0.625
Co  0.375  0.125  0.250
Co  0.375  0.750  0.125
Co  0.625  0.250  0.875
Co  0.625  0.875  0.750
Co  0.750  0.125  0.375
Co  0.750  0.625  0.875
Co  0.875  0.625  0.250
Co  0.875  0.750  0.625
N  0.000  0.000  0.000
N  0.000  0.000  0.500
N  0.000  0.500  0.000
N  0.000  0.500  0.500
N  0.125  0.750  0.875
N  0.125  0.875  0.250
N  0.250  0.125  0.875
N  0.250  0.625  0.375
N  0.375  0.250  0.625
N  0.375  0.625  0.750
N  0.500  0.000  0.000
N  0.500  0.000  0.500
N  0.500  0.500  0.000
N  0.500  0.500  0.500
N  0.625  0.375  0.250
N  0.625  0.750  0.375
N  0.750  0.375  0.625
N  0.750  0.875  0.125
N  0.875  0.125  0.750
N  0.875  0.250  0.125

First-principles (PBE-GGA) data for a geometry-optimized Er3Co5N12 structure, as listed in Alexandria.

- formation energy (no corrections) (eV/atom) = 0.032

a b c (Å): 10.401 10.401 10.401
angles (deg): 109.47 109.47 109.47
Sites, in units of the cell vectors:
Er  0.125  0.250  0.375
Er  0.125  0.375  0.750
Er  0.250  0.375  0.125
Er  0.250  0.875  0.625
Er  0.375  0.125  0.250
Er  0.375  0.750  0.125
Er  0.625  0.250  0.875
Er  0.625  0.875  0.750
Er  0.750  0.125  0.375
Er  0.750  0.625  0.875
Er  0.875  0.625  0.250
Er  0.875  0.750  0.625
Co  0.000  0.000  0.000
Co  0.000  0.000  0.500
Co  0.000  0.500  0.000
Co  0.000  0.500  0.500
Co  0.125  0.750  0.875
Co  0.125  0.875  0.250
Co  0.250  0.125  0.875
Co  0.250  0.625  0.375
Co  0.375  0.250  0.625
Co  0.375  0.625  0.750
Co  0.500  0.000  0.000
Co  0.500  0.000  0.500
Co  0.500  0.500  0.000
Co  0.500  0.500  0.500
Co  0.625  0.375  0.250
Co  0.625  0.750  0.375
Co  0.750  0.375  0.625
Co  0.750  0.875  0.125
Co  0.875  0.125  0.750
Co  0.875  0.250  0.125
N  0.017  0.201  0.112
N  0.017  0.316  0.905
N  0.089  0.701  0.684
N  0.089  0.888  0.405
N  0.095  0.612  0.411
N  0.095  0.983  0.684
N  0.112  0.017  0.201
N  0.112  0.595  0.911
N  0.184  0.201  0.589
N  0.184  0.483  0.595
N  0.201  0.112  0.017
N  0.201  0.589  0.184
N  0.299  0.316  0.911
N  0.299  0.483  0.388
N  0.316  0.905  0.017
N  0.316  0.911  0.299
N  0.388  0.299  0.483
N  0.388  0.589  0.905
N  0.405  0.089  0.888
N  0.405  0.816  0.517
N  0.411  0.095  0.612
N  0.411  0.816  0.799
N  0.483  0.388  0.299
N  0.483  0.595  0.184
N  0.517  0.405  0.816
N  0.517  0.612  0.701
N  0.589  0.184  0.201
N  0.589  0.905  0.388
N  0.595  0.184  0.483
N  0.595  0.911  0.112
N  0.612  0.411  0.095
N  0.612  0.701  0.517
N  0.684  0.089  0.701
N  0.684  0.095  0.983
N  0.701  0.517  0.612
N  0.701  0.684  0.089
N  0.799  0.411  0.816
N  0.799  0.888  0.983
N  0.816  0.517  0.405
N  0.816  0.799  0.411
N  0.888  0.405  0.089
N  0.888  0.983  0.799
N  0.905  0.017  0.316
N  0.905  0.388  0.589
N  0.911  0.112  0.595
N  0.911  0.299  0.316
N  0.983  0.684  0.095
N  0.983  0.799  0.888